! Tb3Pr6Nd2Tl, relaxed, DFT PBE; values from VASP
! Magnetization: 0.00 μB per cell
! Formation energy: -30 kJ/mol of formula units
! Crystal system: monoclinic
! Calculated total energy: -54.778 eV for the cell shown
&SYSTEM
  ibrav = 0, nat = 12, ntyp = 4
/
ATOMIC_SPECIES
Tb 158.93 Tb.upf
Pr 140.91 Pr.upf
Nd 144.24 Nd.upf
Tl 204.38 Tl.upf
ATOMIC_POSITIONS angstrom
Tb 0.3444 1.3555 7.1047
Tb -5.3179 -2.2443 4.3722
Tb -2.4867 -0.4444 5.7385
Pr -5.1079 -1.5705 7.9402
Pr -0.2282 -2.8876 4.2770
Pr 0.1344 0.6817 3.5367
Pr -2.3291 0.1961 9.2812
Pr -4.7453 1.9988 7.1999
Pr -2.6444 -1.0849 2.1957
Nd 2.4276 -1.7328 2.0543
Nd -0.4035 -3.5327 0.6880
Tl 0.0000 0.0000 0.0000
CELL_PARAMETERS angstrom
-3.2455 -5.3394 -0.6835
5.2696 0.0740 3.4258
-6.9976 4.3766 8.7346